(1)
# Ga3SiAg

An optimized crystal structure of Ga3SiAg (PBE, Alexandria via LeMat-Bulk).

```
Ga3SiAg
1.0
-1.872 3.923 -2.078
-0.217 -2.334 -4.210
-4.435 -1.542 1.084
Si Ga Ag
1 3 1
Cartesian
0.000 0.000 0.000 Si
-0.109 -1.167 -2.105 Ga
-2.217 -0.771 0.542 Ga
-0.936 1.962 -1.039 Ga
-3.262 0.024 -2.602 Ag
```

## Properties
Space-group type: Pm-3m (221)
DOS at the Fermi energy, states/eV per atom: 0.44
Energy relative to the lowest polymorph listed for this composition, meV/atom: 0
ΔE_f (raw), eV per atom: 0.439
Calculated density, g/cm³: 5.1



(2)
# CdCo2Ag

An optimized crystal structure of CdCo2Ag (PBE, Alexandria via LeMat-Bulk).

```
CdCo2Ag
1.0
-0.912 7.078 0.466
-2.975 0.045 -6.504
-4.304 3.187 -1.942
Co Ag Cd
4 2 2
Cartesian
-2.012 5.183 -1.010 Co
-3.055 1.752 -4.489 Co
-4.703 5.061 -3.760 Co
-6.610 8.622 -6.701 Co
-1.943 3.561 -3.019 Ag
-4.611 3.396 -5.733 Ag
0.000 0.000 0.000 Cd
-3.579 6.913 -2.248 Cd
```

## Properties
Space-group type: I-42d (122)
ΔE_f, eV per atom: 0.767
DOS at the Fermi energy, states/eV per atom: 1.77
Calculated density, g/cm³: 8.4



(3)
# LuMnZnNi

An optimized crystal structure of LuMnZnNi (PBE, Alexandria via LeMat-Bulk).

```
LuMnZnNi
1.0
4.526 0.000 0.000
2.263 3.919 0.000
2.263 1.306 3.695
Ni Zn Lu Mn
1 1 1 1
Cartesian
0.000 0.000 0.000 Ni
4.526 2.613 1.848 Zn
6.789 3.919 2.771 Lu
2.263 1.306 0.924 Mn
```

## Properties
Space-group type: F-43m (216)
ΔE_f, eV per atom: -0.131
DOS at the Fermi energy, states/eV per atom: 0.79
Calculated density, g/cm³: 9.0



(4)
# Ce3Fe2C4

An optimized crystal structure of Ce3Fe2C4 (PBE, Alexandria via LeMat-Bulk).

```
Ce3Fe2C4
1.0
3.042 0.000 0.000
-1.521 4.814 0.549
0.000 -1.291 7.729
Ce Fe C
3 2 4
Cartesian
0.000 2.879 5.215 Ce
0.000 0.000 0.000 Ce
1.521 0.645 3.063 Ce
0.000 2.740 2.031 Fe
1.521 0.783 6.248 Fe
1.521 2.051 0.496 C
0.000 0.155 5.258 C
1.521 3.368 3.020 C
0.000 1.473 7.783 C
```

## Properties
Space-group type: C2/m (12)
ΔE_f, eV per atom: 0.080
DOS at the Fermi energy, states/eV per atom: 0.96
Calculated density, g/cm³: 8.3



Q: What is the DOS at the Fermi energy in the second record?
A: 1.77 states/eV per atom